AcHoMg2Tl4 after structural relaxation. Source: the Alexandria database, functional GGA-PBE.

abc: 5.0359 5.0359 10.7080
angles: 76.40 76.40 60.00
Fractional coordinates of all 8 atoms:
Tl 0.8750 0.8750 0.3752
Tl 0.6088 0.6088 0.1737
Tl 0.3912 0.3912 0.8263
Tl 0.1250 0.1250 0.6248
Ho 0.5000 0.5000 0.5000
Ac 0.0000 0.0000 0.0000
Mg 0.7573 0.7573 0.7280
Mg 0.2427 0.2427 0.2720

Calculated values
Density of states at the Fermi level, states/eV/cell: 3.7
Energy of formation from the pure elements, eV per atom: -0.23